Entry 1:
Ac2TmTl3Se6 | PBE | optimized geometry

Lattice parameters (Å, degrees): 7.6731 7.6731 8.1399 99.04 99.04 119.89
With the nearest neighbours (Å) after each atom.
Fractional coordinates of all 12 atoms:
Ac  0.1667  0.8333  0.0000  6 Se 3.11-3.13
Ac  0.8333  0.1667  0.0000  6 Se 3.11-3.13
Tm  0.5000  0.5000  0.0000  6 Se 2.88-2.91
Tl  0.0000  0.0000  0.5000  6 Se 3.34-3.51
Tl  0.3333  0.6667  0.5000  6 Se 3.32-3.54
Tl  0.6667  0.3333  0.5000  6 Se 3.32-3.54
Se  0.1193  0.4297  0.7901  1 Tm 2.88, 2 Ac 3.11
Se  0.2604  0.2604  0.2146  1 Tm 2.91, 2 Ac 3.13
Se  0.4297  0.1193  0.7901  1 Tm 2.88, 2 Ac 3.11
Se  0.5703  0.8807  0.2099  1 Tm 2.88, 2 Ac 3.11
Se  0.7396  0.7396  0.7854  1 Tm 2.91, 2 Ac 3.13
Se  0.8807  0.5703  0.2099  1 Tm 2.88, 2 Ac 3.11

For the uncorrected formation energy, the calculation gives -16.86 eV/f.u. Its symmetry is No. 12. For the volume, the calculation gives 32.88 A^3/atom.

Entry 2:
Ac2UTl3Se6 | PBE | optimized geometry

Lattice parameters (Å, degrees): 7.7283 7.7283 8.1547 99.10 99.10 119.96
With the nearest neighbours (Å) after each atom.
Fractional coordinates of all 12 atoms:
Ac  0.1666  0.8334  0.0000  6 Se 3.11-3.13
Ac  0.8334  0.1666  0.0000  6 Se 3.11-3.13
U  0.5000  0.5000  0.0000  6 Se 2.95-2.96
Tl  0.0000  0.0000  0.5000  6 Se 3.35-3.49
Tl  0.3329  0.6671  0.5000  6 Se 3.34-3.50
Tl  0.6671  0.3329  0.5000  6 Se 3.34-3.50
Se  0.1122  0.4287  0.7870  1 U 2.95, 2 Ac 3.11-3.12
Se  0.2557  0.2557  0.2164  1 U 2.96, 2 Ac 3.13
Se  0.4287  0.1122  0.7870  1 U 2.95, 2 Ac 3.11-3.12
Se  0.5713  0.8878  0.2130  1 U 2.95, 2 Ac 3.11-3.12
Se  0.7443  0.7443  0.7836  1 U 2.96, 2 Ac 3.13
Se  0.8878  0.5713  0.2130  1 U 2.95, 2 Ac 3.11-3.12

For the uncorrected formation energy, the calculation gives -14.73 eV/f.u. Its symmetry is No. 12. For the volume, the calculation gives 33.36 A^3/atom.

Entry 3:
Ac2UTl2Se6 | PBE | optimized geometry

Lattice parameters (Å, degrees): 7.6902 7.6902 8.0982 99.31 99.31 119.29
With the nearest neighbours (Å) after each atom.
Fractional coordinates of all 11 atoms:
Ac  0.1660  0.8340  0.0000  6 Se 3.10-3.13
Ac  0.8340  0.1660  0.0000  6 Se 3.10-3.13
U  0.5000  0.5000  0.0000  6 Se 2.86-2.87
Tl  0.3321  0.6679  0.5000  6 Se 3.32-3.53
Tl  0.6679  0.3321  0.5000  6 Se 3.32-3.53
Se  0.1203  0.4312  0.7927  1 U 2.87, 2 Ac 3.10-3.12
Se  0.2671  0.2671  0.2110  1 U 2.86, 2 Ac 3.13
Se  0.4312  0.1203  0.7927  1 U 2.87, 2 Ac 3.10-3.12
Se  0.5688  0.8797  0.2073  1 U 2.87, 2 Ac 3.10-3.12
Se  0.7329  0.7329  0.7890  1 U 2.86, 2 Ac 3.13
Se  0.8797  0.5688  0.2073  1 U 2.87, 2 Ac 3.10-3.12

For the uncorrected formation energy, the calculation gives -14.69 eV/f.u. Its symmetry is No. 12. For the volume, the calculation gives 35.98 A^3/atom.

Entry 4:
AcUTl2Se6 | PBE | optimized geometry

Lattice parameters (Å, degrees): 7.5227 7.8114 13.3577 90.00 123.93 90.00
With the nearest neighbours (Å) after each atom.
Fractional coordinates of all 20 atoms:
Ac  0.0000  0.0000  0.0000  6 Se 3.07-3.11
Ac  0.0000  0.5000  0.5000  6 Se 3.07-3.11
U  0.5000  0.0000  0.5000  6 Se 2.68-2.73
U  0.5000  0.5000  0.0000  6 Se 2.68-2.73
Tl  0.2427  0.0574  0.7445  4 Se 3.09-3.18
Tl  0.2427  0.4426  0.2445  4 Se 3.09-3.18
Tl  0.7573  0.5574  0.7555  4 Se 3.09-3.18
Tl  0.7573  0.9426  0.2555  4 Se 3.09-3.18
Se  0.1458  0.1618  0.4511  1 U 2.68
Se  0.1458  0.3382  0.9511  1 U 2.68
Se  0.2868  0.7011  0.4409  1 U 2.69
Se  0.2868  0.7989  0.9409  1 U 2.69
Se  0.3742  0.0500  0.2672  1 U 2.73
Se  0.3742  0.4500  0.7672  1 U 2.73
Se  0.6258  0.5500  0.2328  1 U 2.73
Se  0.6258  0.9500  0.7328  1 U 2.73
Se  0.7132  0.2011  0.0591  1 U 2.69
Se  0.7132  0.2989  0.5591  1 U 2.69
Se  0.8542  0.6619  0.0489  1 U 2.68
Se  0.8542  0.8382  0.5489  1 U 2.68

For the uncorrected formation energy, the calculation gives -9.13 eV/f.u. Its symmetry is No. 14. For the volume, the calculation gives 32.56 A^3/atom.

Entry 5:
AcUTl2Se4 | PBE | optimized geometry

Lattice parameters (Å, degrees): 7.6428 4.3851 8.1559 90.00 107.99 90.00
With the nearest neighbours (Å) after each atom.
Fractional coordinates of all 8 atoms:
Ac  0.0000  0.0000  0.0000  6 Se 3.10-3.12
U  0.5000  0.5000  0.0000  6 Se 2.94-2.95
Tl  0.0000  0.5000  0.5000  6 Se 3.46
Tl  0.5000  0.0000  0.5000  6 Se 3.31-3.32
Se  0.2553  0.5000  0.2155  1 U 2.94, 2 Ac 3.10
Se  0.2815  0.0000  0.7933  2 U 2.95, 1 Ac 3.12
Se  0.7185  0.0000  0.2067  2 U 2.95, 1 Ac 3.12
Se  0.7447  0.5000  0.7845  1 U 2.94, 2 Ac 3.10

For the uncorrected formation energy, the calculation gives -9.01 eV/f.u. Its symmetry is No. 10. For the volume, the calculation gives 32.50 A^3/atom.

Entry 6:
Ac3UTl3Se8 | PBE | optimized geometry

Lattice parameters (Å, degrees): 9.3174 9.3174 9.3174 57.69 57.69 57.69
With the nearest neighbours (Å) after each atom.
Fractional coordinates of all 15 atoms:
Ac  0.0000  0.5000  0.5000  6 Se 3.10-3.13
Ac  0.5000  0.0000  0.5000  6 Se 3.10-3.13
Ac  0.5000  0.5000  0.0000  6 Se 3.10-3.13
U  0.0000  0.0000  0.0000  6 Se 2.87
Tl  0.0000  0.0000  0.5000  6 Se 3.38-3.39
Tl  0.0000  0.5000  0.0000  6 Se 3.38-3.39
Tl  0.5000  0.0000  0.0000  6 Se 3.38-3.39
Se  0.2220  0.2220  0.7600  1 U 2.87, 2 Ac 3.13
Se  0.2220  0.7600  0.2220  1 U 2.87, 2 Ac 3.13
Se  0.2400  0.7780  0.7780  1 U 2.87, 2 Ac 3.13
Se  0.2603  0.2603  0.2603  3 Ac 3.10, 3 Tl 3.38
Se  0.7397  0.7397  0.7397  3 Ac 3.10, 3 Tl 3.38
Se  0.7600  0.2220  0.2220  1 U 2.87, 2 Ac 3.13
Se  0.7780  0.2400  0.7780  1 U 2.87, 2 Ac 3.13
Se  0.7780  0.7780  0.2400  1 U 2.87, 2 Ac 3.13

For the uncorrected formation energy, the calculation gives -20.54 eV/f.u. Its symmetry is No. 166. For the volume, the calculation gives 36.11 A^3/atom.

Entry 7:
Ac2Tl3VSe6 | PBE | optimized geometry

Lattice parameters (Å, degrees): 7.4661 7.4661 8.0597 98.96 98.96 119.57
With the nearest neighbours (Å) after each atom.
Fractional coordinates of all 12 atoms:
Ac  0.1662  0.8338  0.0000  6 Se 3.09-3.12
Ac  0.8338  0.1662  0.0000  6 Se 3.09-3.12
Tl  0.0000  0.0000  0.5000  6 Se 3.27-3.55
Tl  0.3294  0.6706  0.5000  6 Se 3.25-3.60
Tl  0.6706  0.3294  0.5000  6 Se 3.25-3.60
V  0.5000  0.5000  0.0000  6 Se 2.66-2.76
Se  0.1431  0.4317  0.7978  1 V 2.66
Se  0.2776  0.2776  0.2152  1 V 2.76
Se  0.4317  0.1431  0.7978  1 V 2.66
Se  0.5683  0.8569  0.2022  1 V 2.66
Se  0.7224  0.7224  0.7848  1 V 2.76
Se  0.8569  0.5683  0.2022  1 V 2.66

For the uncorrected formation energy, the calculation gives -12.84 eV/f.u. Its symmetry is No. 12. For the volume, the calculation gives 30.96 A^3/atom.

Entry 8:
Ac3YTl4Se8 | PBE | optimized geometry

Lattice parameters (Å, degrees): 9.3002 9.3002 9.3002 57.60 57.60 57.60
With the nearest neighbours (Å) after each atom.
Fractional coordinates of all 16 atoms:
Ac  0.0000  0.5000  0.5000  6 Se 3.10-3.12
Ac  0.5000  0.0000  0.5000  6 Se 3.10-3.12
Ac  0.5000  0.5000  0.0000  6 Se 3.10-3.12
Y  0.0000  0.0000  0.0000  6 Se 2.95
Tl  0.0000  0.0000  0.5000  6 Se 3.37
Tl  0.0000  0.5000  0.0000  6 Se 3.37
Tl  0.5000  0.0000  0.0000  6 Se 3.37
Tl  0.5000  0.5000  0.5000  6 Se 3.51
Se  0.2288  0.2288  0.7542  1 Y 2.95, 2 Ac 3.12
Se  0.2288  0.7542  0.2288  1 Y 2.95, 2 Ac 3.12
Se  0.2458  0.7712  0.7712  1 Y 2.95, 2 Ac 3.12
Se  0.2598  0.2598  0.2598  3 Ac 3.10, 3 Tl 3.37
Se  0.7402  0.7402  0.7402  3 Ac 3.10, 3 Tl 3.37
Se  0.7542  0.2288  0.2288  1 Y 2.95, 2 Ac 3.12
Se  0.7712  0.2458  0.7712  1 Y 2.95, 2 Ac 3.12
Se  0.7712  0.7712  0.2458  1 Y 2.95, 2 Ac 3.12

For the uncorrected formation energy, the calculation gives -22.65 eV/f.u. Its symmetry is No. 166. For the volume, the calculation gives 33.59 A^3/atom.

Entry 9:
AcYTl2Se4 | PBE | optimized geometry

Lattice parameters (Å, degrees): 7.6038 4.3827 8.1433 90.00 108.02 90.00
With the nearest neighbours (Å) after each atom.
Fractional coordinates of all 8 atoms:
Ac  0.0000  0.0000  0.0000  6 Se 3.09-3.10
Y  0.5000  0.5000  0.0000  6 Se 2.91-2.95
Tl  0.0000  0.5000  0.5000  6 Se 3.45-3.47
Tl  0.5000  0.0000  0.5000  6 Se 3.31
Se  0.2561  0.5000  0.2142  1 Y 2.91, 2 Ac 3.09
Se  0.2803  0.0000  0.7930  2 Y 2.95, 1 Ac 3.10
Se  0.7197  0.0000  0.2070  2 Y 2.95, 1 Ac 3.10
Se  0.7439  0.5000  0.7858  1 Y 2.91, 2 Ac 3.09

For the uncorrected formation energy, the calculation gives -11.20 eV/f.u. Its symmetry is No. 10. For the volume, the calculation gives 32.26 A^3/atom.

Entry 10:
Ac2Tl3ZnSe6 | PBE | optimized geometry

Lattice parameters (Å, degrees): 7.5955 7.5955 7.9457 100.26 100.26 119.23
With the nearest neighbours (Å) after each atom.
Fractional coordinates of all 12 atoms:
Ac  0.1640  0.8360  0.0000  6 Se 3.08-3.14
Ac  0.8360  0.1640  0.0000  6 Se 3.08-3.14
Tl  0.0000  0.0000  0.5000  6 Se 3.20
Tl  0.3267  0.6733  0.5000  6 Se 3.20-3.51
Tl  0.6733  0.3267  0.5000  6 Se 3.20-3.51
Zn  0.5000  0.5000  0.0000  4 Se 2.66
Se  0.1374  0.4268  0.7968  1 Zn 2.66
Se  0.2463  0.2463  0.2485  2 Ac 3.08, 3 Tl 3.20, 1 Zn 3.23
Se  0.4268  0.1374  0.7968  1 Zn 2.66
Se  0.5732  0.8626  0.2032  1 Zn 2.66
Se  0.7537  0.7537  0.7515  2 Ac 3.08, 3 Tl 3.20, 1 Zn 3.23
Se  0.8626  0.5732  0.2032  1 Zn 2.66

For the uncorrected formation energy, the calculation gives -11.88 eV/f.u. Its symmetry is No. 12. For the volume, the calculation gives 31.20 A^3/atom.